This record from the Open Quantum Materials Database describes a relaxed SmAgH4C2SO10 crystal. The functional is GGA-PBE.

* calculated total energy: -6.34 eV/atom

Geometry as extended XYZ:
```
76
Lattice="6.567 0.000 0.000 0.000 13.644 0.000 -1.098 0.000 8.813" Properties=species:S:1:pos:R:3 pbc="T T T"
Ag 1.639 10.118 1.963
Ag 4.378 3.296 2.444
Ag 1.090 10.348 6.370
Ag 3.829 3.526 6.851
C 2.317 3.605 0.191
C 5.716 9.830 0.197
C 0.302 3.008 4.210
C 3.701 10.427 4.216
C 1.768 3.217 4.598
C 5.167 10.636 4.603
C -0.248 3.814 8.617
C 3.152 10.039 8.623
H 5.115 6.443 0.259
H 4.417 1.365 0.335
H 2.553 7.653 0.828
H 5.917 1.354 0.838
H 0.101 8.176 3.568
H 3.464 0.831 3.578
H 1.600 8.187 4.072
H 0.903 13.265 4.147
H 4.566 0.379 4.666
H 3.868 5.457 4.741
H 2.004 12.813 5.235
H 5.368 5.468 5.245
H -0.448 12.290 7.975
H 2.915 5.991 7.985
H 1.051 12.279 8.479
H 0.353 7.201 8.554
O 3.569 10.877 0.462
O 0.974 1.068 0.492
O 0.155 4.578 0.514
O 1.761 7.085 0.672
O 4.971 1.252 1.145
O 2.728 4.282 1.184
O 6.122 10.490 1.213
O 2.662 13.186 1.296
O 3.912 8.322 1.791
O 5.506 6.496 1.998
O 0.512 13.318 2.408
O 2.106 1.500 2.615
O 3.355 6.364 3.111
O -0.105 3.668 3.194
O 3.290 11.104 3.223
O 1.046 8.074 3.262
O 4.256 0.263 3.735
O 5.862 11.400 3.893
O 5.044 7.890 3.915
O 2.449 4.055 3.945
O 3.020 9.590 4.868
O 0.425 5.754 4.899
O -0.394 2.244 4.920
O 1.212 13.381 5.079
O 4.422 5.570 5.552
O 2.179 2.540 5.591
O 5.573 9.976 5.620
O 2.113 7.280 5.702
O 3.363 12.144 6.198
O 4.957 0.327 6.405
O -0.038 7.149 6.815
O 1.557 5.322 7.022
O 2.806 0.458 7.518
O -0.654 3.154 7.601
O 2.741 9.362 7.629
O 0.497 12.392 7.669
O 3.707 6.559 8.142
O 5.313 9.066 8.300
O 4.495 12.576 8.322
O 1.900 2.768 8.352
S 1.580 0.465 1.721
S 4.437 7.287 2.686
S 1.031 6.357 6.128
S 3.888 13.179 7.093
Sm 4.852 12.463 1.923
Sm 1.166 5.641 2.484
Sm 4.303 8.004 6.330
Sm 0.617 1.181 6.891
```



This record from the Open Quantum Materials Database describes a relaxed Sm3Tm3Te2Pt crystal. The functional is GGA-PBE.

* calculated total energy: -5.39 eV/atom
* E above lowest polymorph: 0.0000 eV/atom

Geometry as extended XYZ:
```
9
Lattice="-1.205 -4.660 -6.887 7.195 -0.632 4.294 -1.605 -2.923 2.259" Properties=species:S:1:pos:R:3 pbc="T T T"
Pt 0.000 0.000 0.000
Sm -0.719 -2.779 -4.108
Sm 2.418 -2.136 -1.047
Sm 4.291 -0.377 2.561
Te 0.792 -4.779 -2.031
Te 3.592 -3.436 1.696
Tm -1.092 -2.579 -0.522
Tm 0.923 -1.613 2.159
Tm 3.751 -5.484 -0.842
```



This record from the Open Quantum Materials Database describes a relaxed Er3P2N crystal. The functional is GGA-PBE.

* calculated total energy: -7.00 eV/atom

Geometry as extended XYZ:
```
6
Lattice="-1.396 -0.694 3.408 0.025 -2.699 -2.600 8.519 -2.745 2.930" Properties=species:S:1:pos:R:3 pbc="T T T"
Er 0.000 0.000 0.000
Er 2.140 -2.349 2.459
Er 5.008 -3.789 1.279
N 4.260 -1.372 1.465
P 1.074 -2.521 -0.074
P 6.075 -3.617 3.812
```



This record from the Open Quantum Materials Database describes a relaxed PrSbPb2O6 crystal. The functional is GGA-PBE.

* calculated total energy: -6.41 eV/atom
* E above lowest polymorph: 0.0000 eV/atom

Geometry as extended XYZ:
```
20
Lattice="5.207 -2.928 0.000 5.207 2.928 0.000 -3.158 0.000 9.945" Properties=species:S:1:pos:R:3 pbc="T T T"
O 5.968 -1.804 0.732
O 3.158 -0.186 1.009
O 8.257 -0.303 1.577
O 0.578 -0.303 3.395
O 5.677 -0.186 3.964
O 2.867 -1.804 4.241
O 4.389 1.804 5.704
O 1.579 0.186 5.981
O 6.678 0.303 6.550
O -1.001 0.303 8.368
O 4.098 0.186 8.936
O 1.287 1.804 9.213
Pb 6.213 1.587 1.203
Pb 2.622 1.587 3.769
Pb 4.634 -1.587 6.176
Pb 1.043 -1.587 8.742
Pr 4.417 -1.481 2.486
Pr 2.838 1.481 7.459
Sb 2.604 1.464 0.000
Sb 1.024 -1.464 4.973
```



This record from the Open Quantum Materials Database describes a relaxed Tb2YGa3AgPt2 crystal. The functional is GGA-PBE.

* calculated total energy: -5.30 eV/atom

Geometry as extended XYZ:
```
9
Lattice="3.749 0.000 0.000 0.000 6.512 3.763 0.000 -6.512 3.763" Properties=species:S:1:pos:R:3 pbc="T T T"
Ag 0.000 0.000 0.001
Ga 1.874 0.000 2.037
Ga 1.874 1.758 6.507
Ga 1.874 -1.758 6.507
Pt 1.874 2.175 3.760
Pt 1.874 -2.175 3.760
Tb 0.000 2.659 1.537
Tb 0.000 -2.659 1.537
Y 0.000 0.000 4.458
```



This record from the Open Quantum Materials Database describes a relaxed KZr4InN2 crystal. The functional is GGA-PBE.

* calculated total energy: -7.60 eV/atom

Geometry as extended XYZ:
```
8
Lattice="3.322 0.000 0.000 -1.661 2.877 0.000 0.000 0.000 16.716" Properties=species:S:1:pos:R:3 pbc="T T T"
In 0.000 0.000 0.000
K 1.661 0.959 8.358
N 0.000 1.918 3.722
N 0.000 1.918 12.994
Zr 1.661 0.959 2.482
Zr 0.000 0.000 4.949
Zr 0.000 0.000 11.767
Zr 1.661 0.959 14.234
```



This record from the Open Quantum Materials Database describes a relaxed K2CuP3S9 crystal. The functional is GGA-PBE.

* calculated total energy: -4.49 eV/atom

Geometry as extended XYZ:
```
60
Lattice="6.859 0.000 0.000 0.000 23.765 0.000 -5.223 0.000 9.466" Properties=species:S:1:pos:R:3 pbc="T T T"
Cu 0.801 9.317 1.802
Cu 3.446 21.199 2.931
Cu -1.810 2.566 6.535
Cu 0.835 14.449 7.663
K 4.813 16.524 1.211
K 2.228 1.080 2.261
K 2.020 12.963 2.472
K -0.566 4.642 3.522
K 2.201 19.123 5.944
K -0.384 10.802 6.993
K -0.592 22.685 7.205
K -3.177 7.241 8.255
P 1.657 21.363 0.078
P 4.126 9.552 1.496
P 1.620 18.473 2.075
P 2.627 6.590 2.658
P 0.121 21.435 3.237
P 2.590 9.480 4.655
P -0.955 14.285 4.811
P 1.515 2.330 6.229
P -0.992 17.175 6.808
P 0.016 5.293 7.391
P -2.491 14.213 7.969
P -0.021 2.402 9.388
S 1.388 19.250 0.100
S 2.505 10.193 0.503
S 5.852 10.159 0.673
S 3.431 21.977 0.767
S 0.022 22.157 1.229
S 4.271 7.416 1.548
S 5.657 1.894 1.785
S 0.856 7.018 1.821
S 1.188 16.561 1.869
S 3.059 4.678 2.864
S 3.391 18.900 2.912
S -1.410 13.776 2.948
S -0.024 19.299 3.185
S 4.225 10.274 3.504
S 0.816 10.095 3.966
S -1.605 22.041 4.059
S 1.742 22.075 4.230
S 2.859 7.368 4.632
S -1.223 16.398 4.833
S -0.106 1.690 5.236
S 3.241 1.724 5.406
S 0.819 13.671 5.499
S -2.589 13.491 5.961
S 1.659 4.466 6.281
S 3.046 9.989 6.518
S -1.755 4.865 6.553
S -1.423 19.087 6.602
S 0.447 7.204 7.596
S 0.779 16.747 7.645
S -4.022 21.871 7.680
S -2.635 16.349 7.918
S 1.613 1.609 8.237
S -1.795 1.788 8.699
S -4.217 13.607 8.792
S -0.870 13.572 8.963
S 0.247 4.515 9.365
```



This record from the Open Quantum Materials Database describes a relaxed Cs5NpS6 crystal. The functional is GGA-PBE.

* calculated total energy: -4.62 eV/atom

Geometry as extended XYZ:
```
12
Lattice="-2.349 5.920 -5.261 -3.616 -0.516 7.410 7.265 2.827 2.162" Properties=species:S:1:pos:R:3 pbc="T T T"
Cs -2.773 3.769 -1.026
Cs -3.192 1.635 3.175
Cs 1.069 6.246 -2.041
Cs 0.650 4.115 2.155
Cs 0.231 1.984 6.351
Np 0.000 0.000 0.000
S -3.487 4.962 2.172
S 0.437 2.370 -0.760
S 0.121 0.762 2.406
S 1.179 7.469 1.904
S 0.863 5.860 5.070
S 4.788 3.269 2.138
```



This record from the Open Quantum Materials Database describes a relaxed GdTmPbN crystal. The functional is GGA-PBE.

* calculated total energy: -6.38 eV/atom
* E above lowest polymorph: 0.0042 eV/atom

Geometry as extended XYZ:
```
8
Lattice="3.537 0.000 0.000 -1.769 3.064 0.000 0.000 0.000 15.591" Properties=species:S:1:pos:R:3 pbc="T T T"
Gd 0.000 2.042 1.331
Gd 1.769 1.021 14.260
N 0.000 0.000 0.000
N 0.000 0.000 7.796
Pb 1.769 1.021 3.972
Pb 0.000 2.042 11.619
Tm 0.000 2.042 6.529
Tm 1.769 1.021 9.062
```



This record from the Open Quantum Materials Database describes a relaxed Zr4ZnSbC2 crystal. The functional is GGA-PBE.

* calculated total energy: -7.89 eV/atom

Geometry as extended XYZ:
```
8
Lattice="3.380 0.000 0.000 -1.690 2.928 0.000 0.000 0.000 14.265" Properties=species:S:1:pos:R:3 pbc="T T T"
C 0.000 1.952 3.614
C 0.000 1.952 10.650
Sb 0.000 0.000 0.000
Zn 1.690 0.976 7.132
Zr 1.690 0.976 2.349
Zr 0.000 0.000 4.859
Zr 0.000 0.000 9.406
Zr 1.690 0.976 11.915
```



This record from the Open Quantum Materials Database describes a relaxed RbPa crystal. The functional is GGA-PBE.

* calculated total energy: -2.01 eV/atom
* E above lowest polymorph: 2.1320 eV/atom

Geometry as extended XYZ:
```
2
Lattice="-4.379 1.604 1.042 -2.415 2.604 -3.198 -3.812 -1.857 -2.204" Properties=species:S:1:pos:R:3 pbc="T T T"
Pa 0.000 0.000 0.000
Rb -2.652 0.588 -1.090
```



This record from the Open Quantum Materials Database describes a relaxed BaSnBiPt2 crystal. The functional is GGA-PBE.

* calculated total energy: -5.12 eV/atom
* E above lowest polymorph: 0.0155 eV/atom

Geometry as extended XYZ:
```
10
Lattice="4.942 0.000 0.000 0.000 4.838 0.000 -0.371 0.000 10.855" Properties=species:S:1:pos:R:3 pbc="T T T"
Ba 3.544 1.209 2.688
Ba 1.028 3.629 8.167
Bi 0.920 3.629 1.333
Bi 3.652 1.209 9.522
Pt 1.592 1.209 0.030
Pt 1.048 3.629 4.185
Pt 3.523 1.209 6.670
Pt 2.979 3.629 10.825
Sn 3.517 3.629 5.417
Sn 1.054 1.209 5.438
```



V (computed, Å³/atom): 10.39, 27.37, 19.09, 15.16, 20.41, 19.97, 25.71, 37.57, 21.12, 17.65, 38.58, 25.95